(1)
Density functional theory data (PBE with a Hubbard U) for a relaxed ReMoO4 crystal.

Output
- Calculated density: 8.02 g/cm³
- SG: No. 60
- Energy: -8.065 eV per atom

Cell: 4.7316 5.7204 10.5866 Å, 90.00 90.00 90.00°
Closest atoms and distances in Å follow each position.
Fractional positions:
Re  0.0000  0.2005  0.2500  6 O 1.95-2.02
Re  0.0000  0.7995  0.7500  6 O 1.95-2.02
Re  0.5000  0.2995  0.7500  6 O 1.95-2.02
Re  0.5000  0.7005  0.2500  6 O 1.95-2.02
Mo  0.0000  0.5000  0.0000  6 O 2.09-2.21
Mo  0.0000  0.5000  0.5000  6 O 2.09-2.21
Mo  0.5000  0.0000  0.0000  6 O 2.09-2.21
Mo  0.5000  0.0000  0.5000  6 O 2.09-2.21
O  0.1997  0.2110  0.0891  1 Re 1.95, 2 Mo 2.09-2.13
O  0.1997  0.7890  0.5891  1 Re 1.95, 2 Mo 2.09-2.13
O  0.2398  0.4613  0.3217  2 Re 1.99-2.02, 1 Mo 2.21
O  0.2398  0.5387  0.8217  2 Re 1.99-2.02, 1 Mo 2.21
O  0.2602  0.0387  0.8217  2 Re 1.99-2.02, 1 Mo 2.21
O  0.2602  0.9613  0.3217  2 Re 1.99-2.02, 1 Mo 2.21
O  0.3003  0.2890  0.5891  1 Re 1.95, 2 Mo 2.09-2.13
O  0.3003  0.7110  0.0891  1 Re 1.95, 2 Mo 2.09-2.13
O  0.6997  0.2890  0.9109  1 Re 1.95, 2 Mo 2.09-2.13
O  0.6997  0.7110  0.4109  1 Re 1.95, 2 Mo 2.09-2.13
O  0.7398  0.0387  0.6783  2 Re 1.99-2.02, 1 Mo 2.21
O  0.7398  0.9613  0.1783  2 Re 1.99-2.02, 1 Mo 2.21
O  0.7602  0.4613  0.1783  2 Re 1.99-2.02, 1 Mo 2.21
O  0.7602  0.5387  0.6783  2 Re 1.99-2.02, 1 Mo 2.21
O  0.8003  0.2110  0.4109  1 Re 1.95, 2 Mo 2.09-2.13
O  0.8003  0.7890  0.9109  1 Re 1.95, 2 Mo 2.09-2.13

(2)
Density functional theory data (PBE with a Hubbard U) for a relaxed ReMo2O2 crystal.

Output
- Calculated density: 10.72 g/cm³
- Excess energy over the best structure of this formula in the dataset: 764 meV/atom
- SG: No. 127

Cell: 6.9112 6.9112 2.6586 Å, 90.00 90.00 90.00°
Closest atoms and distances in Å follow each position.
Fractional positions:
Re  0.0000  0.0000  0.0000  4 Mo 2.61, 2 Re 2.66
Re  0.5000  0.5000  0.0000  4 Mo 2.61, 2 Re 2.66
Mo  0.1554  0.3446  0.0000  6 O 2.32-2.59
Mo  0.3446  0.8446  0.0000  6 O 2.32-2.59
Mo  0.6554  0.1554  0.0000  6 O 2.32-2.59
Mo  0.8446  0.6554  0.0000  6 O 2.32-2.59
O  0.1170  0.6170  0.5000  1 O 2.29, 4 Mo 2.32
O  0.3830  0.1170  0.5000  1 O 2.29, 4 Mo 2.32
O  0.6170  0.8830  0.5000  1 O 2.29, 4 Mo 2.32
O  0.8830  0.3830  0.5000  1 O 2.29, 4 Mo 2.32

(3)
Density functional theory data (PBE with a Hubbard U) for a relaxed ReMo2O2 crystal.

Output
- Calculated density: 10.87 g/cm³
- Excess energy over the best structure of this formula in the dataset: 0 meV/atom
- SG: No. 139

Cell: 3.2396 3.2396 11.9438 Å, 90.00 90.00 90.00°
Closest atoms and distances in Å follow each position.
Fractional positions:
Re  0.0000  0.0000  0.0000  8 Mo 2.81
Re  0.5000  0.5000  0.5000  8 Mo 2.81
Mo  0.0000  0.0000  0.3633  4 O 2.11
Mo  0.0000  0.0000  0.6367  4 O 2.11
Mo  0.5000  0.5000  0.1367  4 O 2.11
Mo  0.5000  0.5000  0.8633  4 O 2.11
O  0.0000  0.5000  0.2500  4 Mo 2.11, 4 O 2.29
O  0.0000  0.5000  0.7500  4 Mo 2.11, 4 O 2.29
O  0.5000  0.0000  0.2500  4 Mo 2.11, 4 O 2.29
O  0.5000  0.0000  0.7500  4 Mo 2.11, 4 O 2.29

So what do the calculations give for N(E_F)? Going down the list: 11.6, 7.5, 2.9 states/eV/cell.